# MnRhW2

Crystalline MnRhW2 at its relaxed geometry (PBE, the Alexandria database).

Values from the calculation:
- Energy above the lowest structure with this stoichiometry: 0.019 eV/atom
- Uncorrected energy: -42.205 eV per cell
- DFT formation energy: 0.056 eV per atom

a b c (Å): 4.7477 4.7477 2.7351
angles (deg): 89.98 89.98 109.41
Last column: nearest neighbours and their distance in Å.
Positions (direct):
W 0.5000 0.5000 0.0000  4 W 2.74, 4 Mn 2.74, 4 Rh 2.74
W 0.0000 0.0000 0.0000  4 W 2.74, 4 Rh 2.74, 4 Mn 2.74
Mn 0.5000 0.0000 0.5000  2 Mn 2.74, 8 W 2.74, 2 Rh 2.74
Rh 0.0000 0.5000 0.5000  2 Rh 2.74, 8 W 2.74, 2 Mn 2.74